CoSiTc2 GGA-PBE optimized geometry; formation energy from raw total energies = -0.232 eV/atom; symmetry = Amm2, No. 38; DFT total energy = -8.55 eV/atom
1.0
3.936 0.000 0.000
0.000 1.371 4.772
0.000 -1.371 4.772
Co Si Tc
1 1 2
direct
0.000 0.000 0.000
0.500 0.120 0.120
0.000 0.737 0.737
0.500 0.382 0.382